## Al4Cl (PBE-GGA)

Data for crystalline Al4Cl at its relaxed geometry.

abc: 7.134 7.134 7.134
angles: 147.93 147.93 45.98
Element x y z (fractional)
Al  0.750  0.250  0.500
Al  0.250  0.750  0.500
Al  0.599  0.599  0.000
Al  0.401  0.401  0.000
Cl  0.000  0.000  0.000

Energy relative to the elements, uncorrected, eV per atom: 0.078
Distance to the lowest polymorph of the same formula, meV/atom: 0
Fermi-level density of states, states/eV/cell: 3.0
Space-group type: I4/mmm (139)